A plane-wave DFT calculation with PBE+U was carried out for a relaxed structure of Fe2AuF.

Cell lengths 6.470, 6.470, 5.450 Å; angles 53.59, 53.59, 90.00 degrees
Fractional coordinates of all 8 atoms:
1 F 0.500 0.500 0.000
2 F 0.250 0.750 0.500
3 Fe 0.375 0.425 0.750
4 Fe 0.575 0.125 0.250
5 Fe 0.875 0.825 0.750
6 Fe 0.175 0.625 0.250
7 Au 0.750 0.250 0.500
8 Au 0.000 0.000 0.000

Values from the calculation:
**DOS(E_F)**: 0.73 states/eV per atom
**Symmetry**: I-42d, No. 122
**Final energy**: -4.30 eV/atom